# 1
VASP calculation (PBE) on a relaxed Tb2Al4NiAu crystal.

```
Tb2Al4NiAu
1.0
-2.969 -4.446 4.239
8.352 -4.041 1.612
8.258 -1.417 4.298
Al Au Tb Ni
4 1 2 1
Cartesian
10.298 -5.017 5.259
2.741 -4.615 4.603
3.840 -2.969 3.034
9.117 -6.785 6.945
3.127 -1.027 1.113
13.627 -4.478 4.849
7.827 -2.572 2.785
9.926 -3.261 3.532
```

Summary:
The calculation puts the total DFT energy (no corrections) at -30.65 eV/f.u.

***

# 2
VASP calculation (PBE) on a relaxed Rb2TbHoO4 crystal.

```
Rb2TbHoO4
1.0
-3.249 0.962 -0.754
0.752 -1.259 3.147
2.571 11.947 4.166
Rb O Tb Ho
2 4 1 1
Cartesian
-1.274 3.204 1.586
1.347 8.446 4.972
0.471 4.372 3.552
-0.354 0.541 2.216
0.428 11.109 4.343
-0.397 7.278 3.007
1.286 5.973 2.083
0.000 0.000 0.000
```

Summary:
The calculation puts the total DFT energy (no corrections) at -52.49 eV/f.u.

***

# 3
VASP calculation (PBE) on a relaxed TlZnCoOs crystal.

```
TlZnCoOs
1.0
4.177 0.540 1.374
0.877 0.379 4.326
2.071 -3.282 2.136
Co Zn Os Tl
1 1 1 1
Cartesian
5.344 -1.772 5.876
3.563 -1.181 3.918
1.781 -0.591 1.959
0.000 0.000 0.000
```

Summary:
The excess energy over the best structure of this formula in the dataset comes out at 0 kJ/mol of formula units. The calculation puts the total DFT energy (no corrections) at -19.25 eV/f.u.

***

> The highest total DFT energy (no corrections) belongs to which entry?

TlZnCoOs

***

> What is the formula in the second record?

Rb2TbHoO4

***

> total DFT energy (no corrections) of number 2 (Rb2TbHoO4)?

-52.49 eV/f.u.